A relaxed Li2MnCr crystal, computed with PBE-GGA.

Summary:
- E (eV per atom) = -5.3147
- energy of formation from the pure elements (eV per atom) = 0.340
- V (Å³ per cell) = 50

abc: 2.331 3.934 5.502
angles: 90.00 98.58 90.00
Atoms (fractional coordinates):
Li1 0.000 0.000 0.000
Li2 0.249 0.500 0.756
Mn1 0.738 0.500 0.289
Cr1 0.522 0.000 0.461

---

A relaxed TbY7Ho3 crystal, computed with PBE-GGA.

Summary:
- E (eV per atom) = -5.5824
- energy of formation from the pure elements (eV per atom) = 0.200
- V (Å³ per cell) = 372

abc: 7.076 7.076 8.585
angles: 90.00 90.00 120.00
Atoms (fractional coordinates):
Tb1 0.000 0.000 0.000
Y1 0.002 0.501 0.003
Y2 0.331 0.165 0.668
Y3 0.333 0.667 0.670
Y4 0.499 0.501 0.003
Y5 0.499 0.998 0.003
Y6 0.835 0.165 0.668
Y7 0.835 0.669 0.668
Ho1 0.166 0.333 0.335
Ho2 0.166 0.834 0.335
Ho3 0.667 0.834 0.335

---

A relaxed Rb2PuTlSe5 crystal, computed with PBE-GGA.

Summary:
- E (eV per atom) = -4.8709
- E_form (uncorrected) (meV per atom) = -865
- V (Å³ per cell) = 625

abc: 10.266 10.266 14.664
angles: 90.00 90.00 156.13
Atoms (fractional coordinates):
Rb1 0.120 0.880 0.500
Rb2 0.136 0.864 0.130
Rb3 0.864 0.136 0.630
Rb4 0.880 0.120 0.000
Pu1 0.202 0.798 0.831
Pu2 0.798 0.202 0.331
Tl1 0.449 0.551 0.243
Tl2 0.551 0.449 0.743
Se1 0.058 0.942 0.862
Se2 0.296 0.704 0.453
Se3 0.309 0.691 0.201
Se4 0.333 0.667 0.819
Se5 0.496 0.504 0.586
Se6 0.504 0.496 0.086
Se7 0.667 0.333 0.319
Se8 0.691 0.309 0.701
Se9 0.704 0.296 0.953
Se10 0.942 0.058 0.362

---

A relaxed RuW3 crystal, computed with PBE-GGA.

Summary:
- E (eV per atom) = -11.7897
- energy of formation from the pure elements (eV per atom) = 0.244
- V (Å³ per cell) = 63

abc: 3.976 3.976 3.976
angles: 90.00 90.00 90.00
Atoms (fractional coordinates):
Ru1 0.000 0.000 0.000
W1 0.000 0.500 0.500
W2 0.500 0.000 0.500
W3 0.500 0.500 0.000

---

A relaxed LaTh2Bi crystal, computed with PBE-GGA.

Summary:
- E (eV per atom) = -6.2206
- energy of formation from the pure elements (eV per atom) = -0.309
- V (Å³ per cell) = 126

abc: 4.870 4.870 5.311
angles: 90.00 90.00 90.00
Atoms (fractional coordinates):
La1 0.000 0.000 0.000
Th1 0.000 0.500 0.500
Th2 0.500 0.000 0.500
Bi1 0.500 0.500 0.000

---

A relaxed Tb2HgGe3Pt4 crystal, computed with PBE-GGA.

Summary:
- E (eV per atom) = -5.5257
- energy of formation from the pure elements (eV per atom) = -0.768
- V (Å³ per cell) = 196

abc: 4.184 4.184 11.195
angles: 90.00 90.00 90.00
Atoms (fractional coordinates):
Tb1 0.000 0.500 0.245
Tb2 0.500 0.000 0.755
Hg1 0.000 0.000 0.500
Ge1 0.000 0.500 0.873
Ge2 0.500 0.000 0.127
Ge3 0.500 0.500 0.500
Pt1 0.000 0.000 0.000
Pt2 0.000 0.500 0.661
Pt3 0.500 0.000 0.339
Pt4 0.500 0.500 0.000